(1)
An optimized crystal structure of ZrWBr, computed with GGA-PBEsol.

a b c (Å): 2.9766 4.4781 8.4416
angles (deg): 90.00 90.00 90.00
With the nearest neighbours (Å) after each atom.
Space group Imm2 (No. 44)
Asymmetric unit:
Zr 0.0000 0.0000 0.0000 x2  5 Br 2.85-3.02, 5 W 2.92-2.99, 2 Zr 2.98
W 0.0000 0.0000 0.3455 x2  1 Br 2.67, 5 Zr 2.92-2.99, 2 W 2.98
Br 0.0000 0.0000 0.6618 x2  1 W 2.67, 1 Zr 2.85, 2 Br 2.98

Summary:
The value obtained for the energy above the most stable polymorph in this dataset is 273 meV per atom. The final energy comes out at -7.5874 eV/atom. As for the energy relative to the elements, uncorrected: 668 meV/atom.

=====

(2)
An optimized crystal structure of SmAl20V2, computed with GGA-PBEsol.

a b c (Å): 14.4303 14.4303 14.4303
angles (deg): 90.00 90.00 90.00
With the nearest neighbours (Å) after each atom.
Space group Fd-3m (No. 227, origin choice 2)
Asymmetric unit:
Sm 0.1250 0.1250 0.1250 x8  16 Al 3.12-3.20
Al 0.0000 0.0000 0.0000 x16  12 Al 3.09, 2 Sm 3.12
Al 0.0132 0.3750 0.8750 x48  2 V 2.56, 10 Al 2.69-2.82
Al 0.0588 0.0588 0.3259 x96  8 Al 2.69-2.90, 1 V 2.78
V 0.0000 0.0000 0.5000 x16  12 Al 2.56-2.78

Summary:
The final energy comes out at -4.8178 eV/atom. Its calculated formation energy is -0.20 eV/atom.

=====

(3)
An optimized crystal structure of NiTeAs, computed with GGA-PBEsol.

a b c (Å): 3.9395 4.8877 11.7737
angles (deg): 90.00 90.00 90.00
With the nearest neighbours (Å) after each atom.
Space group Fmm2 (No. 42)
Asymmetric unit:
Ni 0.0000 0.0000 0.0000 x4  2 As 2.34
Te 0.0000 0.0000 0.6505 x4  2 Ni 2.65
As 0.0000 0.0000 0.3921 x4  2 Ni 2.34

Summary:
The final energy comes out at -4.8364 eV/atom. As for the energy relative to the elements, uncorrected: 94 meV/atom.

=====

(4)
An optimized crystal structure of YMg2Rh2, computed with GGA-PBEsol.

a b c (Å): 3.9963 3.9963 11.8570
angles (deg): 90.00 90.00 90.00
With the nearest neighbours (Å) after each atom.
Space group I4/mmm (No. 139)
Asymmetric unit:
Y 0.0000 0.0000 0.0000 x2  8 Rh 3.09
Mg 0.0000 0.5000 0.2500 x4  4 Rh 2.64, 4 Mg 2.83
Rh 0.0000 0.0000 0.3952 x4  1 Rh 2.48, 4 Mg 2.64

Summary:
The value obtained for the energy above the most stable polymorph in this dataset is 70 meV per atom. The final energy comes out at -5.7115 eV/atom. Its calculated formation energy is -0.40 eV/atom.

=====

(5)
An optimized crystal structure of CsInRhBr2, computed with GGA-PBEsol.

a b c (Å): 5.5508 5.5508 7.2914
angles (deg): 90.00 90.00 90.00
With the nearest neighbours (Å) after each atom.
Space group P4/mmm (No. 123)
Asymmetric unit:
Cs 0.0000 0.0000 0.0000 x1  2 In 3.65, 4 Rh 3.93
In 0.0000 0.0000 0.5000 x1  4 Br 2.78
Rh 0.5000 0.5000 0.0000 x1  4 Cs 3.93
Br 0.0000 0.5000 0.5000 x2  2 In 2.78

Summary:
The final energy comes out at -2.5454 eV/atom. As for the energy relative to the elements, uncorrected: 615 meV/atom.

=====

(6)
An optimized crystal structure of Li2MgZn, computed with GGA-PBEsol.

a b c (Å): 4.0388 4.0388 4.1650
angles (deg): 90.00 90.00 90.00
With the nearest neighbours (Å) after each atom.
Space group P4/mmm (No. 123)
Asymmetric unit:
Li 0.0000 0.5000 0.0000 x2  4 Li 2.86, 4 Mg 2.90, 4 Zn 2.90
Mg 0.0000 0.0000 0.5000 x1  4 Zn 2.86, 8 Li 2.90
Zn 0.5000 0.5000 0.5000 x1  4 Mg 2.86, 8 Li 2.90

Summary:
The final energy comes out at -1.8912 eV/atom. Its calculated formation energy is -0.08 eV/atom.

=====

(7)
An optimized crystal structure of AgPd2Pb2, computed with GGA-PBEsol.

a b c (Å): 7.3505 7.3505 3.6695
angles (deg): 90.00 90.00 90.00
With the nearest neighbours (Å) after each atom.
Space group P4/mbm (No. 127)
Asymmetric unit:
Ag 0.0000 0.0000 0.0000 x2  4 Pd 2.86
Pd 0.1360 0.3640 0.0000 x4  6 Pb 2.76-2.89, 1 Pd 2.83, 2 Ag 2.86
Pb 0.1656 0.6656 0.5000 x4  6 Pd 2.76-2.89

Summary:
The final energy comes out at -4.7693 eV/atom. Its calculated formation energy is -0.12 eV/atom.

=====

(8)
An optimized crystal structure of Pr3CBr3, computed with GGA-PBEsol.

a b c (Å): 11.3404 11.3404 11.3404
angles (deg): 90.00 90.00 90.00
With the nearest neighbours (Å) after each atom.
Space group I4_132 (No. 214)
Asymmetric unit:
Pr 0.1060 0.3560 0.1250 x24  2 C 2.63
C 0.1250 0.1250 0.1250 x8  6 Pr 2.63
Br 0.1138 0.1362 0.6250 x24  4 Pr 2.99-3.07

Summary:
The final energy comes out at -5.7110 eV/atom. As for the energy relative to the elements, uncorrected: -1310 meV/atom.

=====

What is the final energy in the eighth record? -5.7110 eV/atom

=====

What is the formula in the second record? SmAl20V2

=====

What is the final energy in the first record? -7.5874 eV/atom

=====

final energy of number 8 (Pr3CBr3)? -5.7110 eV/atom